A crystal of TcAgSe4 relaxed with PBEsol, computed with meta-GGA SCAN.

a = 5.5536 Å, b = 5.5536 Å, c = 5.5536 Å
α = 60.00°, β = 60.00°, γ = 60.00°
Element x y z (fractional)
Tc: 0.0000 0.0000 0.0000
Ag: 0.2500 0.2500 0.2500
Se: 0.1245 0.6252 0.6252
Se: 0.6252 0.1245 0.6252
Se: 0.6252 0.6252 0.1245
Se: 0.6252 0.6252 0.6252

Output
Energy: -140.53 eV per formula unit
Density of states at the Fermi level: 0.733 states/eV/atom
Crystal system: cubic